# YTc2P

An optimized crystal structure of YTc2P (PBE, Alexandria).

Cell and atoms, written as POSCAR:
```
YTc2P
1.0
1.877 5.038 0.429
-3.359 3.965 1.446
2.116 -4.761 1.396
Tc P Y
2 1 1
direct
0.983 0.983 0.000
0.234 0.734 0.500
0.778 0.278 0.500
0.505 0.505 0.000
```

Summary:
The calculation puts the volume at 65.6 Å³/cell. As for the space-group type: Imm2, No. 44. Its formation energy from the elements is -62 meV per atom.



# SrHf2H

An optimized crystal structure of SrHf2H (PBE, Alexandria).

Cell and atoms, written as POSCAR:
```
SrHf2H
1.0
2.560 -3.943 -1.836
2.199 -3.270 3.153
-1.857 -4.666 0.495
Hf Sr H
2 1 1
direct
0.750 0.750 0.750
0.250 0.250 0.250
0.500 0.500 0.500
0.000 0.000 0.000
```

Summary:
As for the relative energy among the computed polymorphs: 5.27 eV/f.u. The calculation puts the volume at 90.9 Å³/cell. As for the space-group type: Fm-3m, No. 225.



# SbTe2Au

An optimized crystal structure of SbTe2Au (PBE, Alexandria).

Cell and atoms, written as POSCAR:
```
SbTe2Au
1.0
-0.340 3.124 2.849
-4.548 -2.079 1.736
0.795 -3.479 3.910
Te Au Sb
2 1 1
direct
0.500 0.289 0.289
0.000 0.989 0.989
0.000 0.503 0.503
0.500 0.719 0.719
```

Summary:
The calculation puts the volume at 110.4 Å³/cell. As for the space-group type: Amm2, No. 38. The value obtained for the formation energy without anion corrections is -0.06 eV per atom.



# LaPm6Pr

An optimized crystal structure of LaPm6Pr (PBE, Alexandria).

Cell and atoms, written as POSCAR:
```
LaPm6Pr
1.0
-1.878 -0.278 4.837
-3.239 -6.386 -1.625
6.032 -3.603 2.134
Pm La Pr
6 1 1
direct
0.000 0.751 0.751
0.000 0.751 0.249
0.000 0.249 0.249
0.500 0.500 0.000
0.000 0.249 0.751
0.500 0.000 0.500
0.500 0.500 0.500
0.500 0.000 0.000
```

Summary:
The calculation puts the volume at 280.2 Å³/cell. As for the space-group type: P4/mmm, No. 123. Its formation energy from the elements is 15 meV per atom.



# LaSmH

An optimized crystal structure of LaSmH (PBE, Alexandria).

Cell and atoms, written as POSCAR:
```
LaSmH
1.0
3.512 -0.669 1.043
-0.499 8.653 1.065
2.576 3.168 6.453
La Sm H
2 2 2
direct
0.466 0.231 0.385
0.534 0.769 0.615
0.508 0.245 0.852
0.492 0.755 0.148
0.017 0.883 0.182
0.983 0.117 0.818
```

Summary:
As for the relative energy among the computed polymorphs: 0.00 eV/f.u. The calculation puts the volume at 155.3 Å³/cell. As for the space-group type: P-1, No. 2.



# Hf2NbCr

An optimized crystal structure of Hf2NbCr (PBE, Alexandria).

Cell and atoms, written as POSCAR:
```
Hf2NbCr
1.0
7.385 0.000 0.000
0.000 7.385 0.000
3.693 3.693 2.849
Nb Hf Cr
2 4 2
direct
0.750 0.250 0.500
0.000 0.000 0.000
0.151 0.625 0.250
0.875 0.849 0.750
0.599 0.125 0.250
0.375 0.401 0.750
0.500 0.500 0.000
0.250 0.750 0.500
```

Summary:
As for the relative energy among the computed polymorphs: 2.09 eV/f.u. The calculation puts the volume at 155.4 Å³/cell. As for the space-group type: I-42d, No. 122. Its formation energy from the elements is 651 meV per atom.



# Ho3TmPt3

An optimized crystal structure of Ho3TmPt3 (PBE, Alexandria).

Cell and atoms, written as POSCAR:
```
Ho3TmPt3
1.0
-3.498 -5.959 0.169
2.105 -0.019 6.584
-5.816 3.596 1.750
Pt Ho Tm
6 6 2
direct
0.940 0.940 0.194
0.021 0.495 0.282
0.060 0.060 0.806
0.505 0.979 0.718
0.979 0.505 0.718
0.495 0.021 0.282
0.249 0.751 0.000
0.335 0.335 0.620
0.751 0.249 0.000
0.176 0.824 0.500
0.665 0.665 0.380
0.824 0.176 0.500
0.259 0.259 0.115
0.741 0.741 0.885
```

Summary:
The calculation puts the volume at 334.4 Å³/cell. As for the space-group type: C2/m, No. 12. Its formation energy from the elements is -1041 meV per atom.



# NaEr2Hg

An optimized crystal structure of NaEr2Hg (PBE, Alexandria).

Cell and atoms, written as POSCAR:
```
NaEr2Hg
1.0
3.520 0.000 0.000
1.760 3.048 0.000
1.760 1.016 11.725
Er Hg Na
2 1 1
direct
0.901 0.901 0.297
0.099 0.099 0.703
0.500 0.500 0.500
0.000 0.000 0.000
```

Summary:
As for the relative energy among the computed polymorphs: 0.33 eV/f.u. The calculation puts the volume at 125.8 Å³/cell. As for the space-group type: R-3m, No. 166. Its formation energy from the elements is 45 meV per atom.



# AlZn2Rh

An optimized crystal structure of AlZn2Rh (PBE, Alexandria).

Cell and atoms, written as POSCAR:
```
AlZn2Rh
1.0
-3.009 -0.329 3.517
-2.116 -0.335 -1.842
0.576 -4.418 0.080
Rh Zn Al
1 2 1
direct
0.500 0.750 0.750
0.000 0.007 0.994
0.000 0.493 0.506
0.500 0.250 0.250
```

Summary:
The calculation puts the volume at 58.4 Å³/cell. As for the space-group type: P2/m, No. 10. Its formation energy from the elements is -331 meV per atom.



# Sm4CdInAg2

An optimized crystal structure of Sm4CdInAg2 (PBE, Alexandria).

Cell and atoms, written as POSCAR:
```
Sm4CdInAg2
1.0
-3.970 2.096 -2.881
-5.061 -0.681 1.541
-2.561 7.808 4.272
Sm Ag Cd In
4 2 1 1
direct
0.376 0.376 0.873
0.874 0.874 0.377
0.126 0.126 0.623
0.624 0.624 0.127
0.249 0.249 0.252
0.751 0.751 0.748
0.500 0.500 0.500
0.000 0.000 0.000
```

Summary:
The calculation puts the volume at 215.2 Å³/cell. As for the space-group type: R-3m, No. 166. Its formation energy from the elements is -326 meV per atom.



# La2PmPrY2

An optimized crystal structure of La2PmPrY2 (PBE, Alexandria).

Cell and atoms, written as POSCAR:
```
La2PmPrY2
1.0
-3.450 0.163 -0.141
-0.366 -6.484 1.488
-0.543 4.200 18.165
Y Pr La Pm
4 2 4 2
direct
0.500 0.786 0.355
0.500 0.214 0.645
0.000 0.714 0.855
0.000 0.286 0.145
0.500 0.500 0.500
0.000 0.000 0.000
0.500 0.283 0.311
0.000 0.217 0.811
0.500 0.717 0.689
0.000 0.783 0.189
0.500 0.500 0.000
0.000 0.000 0.500
```

Summary:
The calculation puts the volume at 429.6 Å³/cell. As for the space-group type: Pnnm, No. 58. Its formation energy from the elements is 253 meV per atom.



# InSbBr2

An optimized crystal structure of InSbBr2 (PBE, Alexandria).

Cell and atoms, written as POSCAR:
```
InSbBr2
1.0
3.858 0.001 0.000
-1.857 3.382 0.000
0.000 0.000 9.954
Sb Br In
1 2 1
direct
0.500 0.500 0.745
0.000 0.000 0.954
0.500 0.500 0.300
0.000 0.000 0.500
```

Summary:
As for the relative energy among the computed polymorphs: 0.81 eV/f.u. The calculation puts the volume at 129.9 Å³/cell. As for the space-group type: Cmm2, No. 35. The value obtained for the formation energy without anion corrections is -0.15 eV per atom.



# Li2RhO2

An optimized crystal structure of Li2RhO2 (PBE, Alexandria).

Cell and atoms, written as POSCAR:
```
Li2RhO2
1.0
5.854 0.000 0.000
0.000 5.854 0.000
0.000 0.000 2.624
O Li Rh
4 4 2
direct
0.192 0.692 0.500
0.692 0.808 0.500
0.308 0.192 0.500
0.808 0.308 0.500
0.123 0.377 0.000
0.377 0.877 0.000
0.623 0.123 0.000
0.877 0.623 0.000
0.000 0.000 0.000
0.500 0.500 0.000
```

Summary:
The calculation puts the volume at 89.9 Å³/cell. As for the space-group type: P4/mbm, No. 127. The value obtained for the formation energy without anion corrections is -0.62 eV per atom.



# CsPAu2

An optimized crystal structure of CsPAu2 (PBE, Alexandria).

Cell and atoms, written as POSCAR:
```
CsPAu2
1.0
-7.236 -0.016 -0.942
2.010 -5.463 4.399
2.151 6.237 3.117
Au P Cs
4 2 2
direct
0.250 0.875 0.625
0.250 0.375 0.625
0.750 0.375 0.625
0.750 0.375 0.125
0.000 0.500 0.500
0.500 0.250 0.750
0.000 0.000 0.000
0.500 0.750 0.250
```

Summary:
The calculation puts the volume at 298.8 Å³/cell. As for the space-group type: I4_1/amd, No. 141. Its formation energy from the elements is -455 meV per atom.



# Dy4Tm2Sc3

An optimized crystal structure of Dy4Tm2Sc3 (PBE, Alexandria).

Cell and atoms, written as POSCAR:
```
Dy4Tm2Sc3
1.0
3.477 0.000 0.000
-1.739 3.012 0.000
0.000 0.000 25.104
Tm Sc Dy
2 3 4
direct
0.667 0.333 0.875
0.667 0.333 0.084
0.667 0.333 0.654
0.000 0.000 0.980
0.000 0.000 0.325
0.000 0.000 0.761
0.667 0.333 0.220
0.667 0.333 0.431
0.000 0.000 0.548
```

Summary:
As for the relative energy among the computed polymorphs: 0.00 eV/f.u. The calculation puts the volume at 262.9 Å³/cell. As for the space-group type: P3m1, No. 156. Its formation energy from the elements is 58 meV per atom.



# TcRh4Pb

An optimized crystal structure of TcRh4Pb (PBE, Alexandria).

Cell and atoms, written as POSCAR:
```
TcRh4Pb
1.0
0.000 3.678 3.678
3.678 0.000 3.678
3.678 3.678 0.000
Rh Tc Pb
4 1 1
direct
0.376 0.873 0.376
0.376 0.376 0.873
0.376 0.376 0.376
0.873 0.376 0.376
0.750 0.750 0.750
0.000 0.000 0.000
```

Summary:
The calculation puts the volume at 99.5 Å³/cell. As for the space-group type: F-43m, No. 216. Its formation energy from the elements is 408 meV per atom.



# Mg3TiCo

An optimized crystal structure of Mg3TiCo (PBE, Alexandria).

Cell and atoms, written as POSCAR:
```
Mg3TiCo
1.0
4.663 0.000 0.000
0.000 4.663 0.000
0.000 0.000 4.663
Co Ti Mg
1 1 3
direct
0.000 0.000 0.000
0.500 0.500 0.500
0.000 0.000 0.500
0.500 0.000 0.000
0.000 0.500 0.000
```

Summary:
The calculation puts the volume at 101.4 Å³/cell. As for the space-group type: Pm-3m, No. 221. Its formation energy from the elements is 587 meV per atom.



# Mg5In2HgPd2

An optimized crystal structure of Mg5In2HgPd2 (PBE, Alexandria).

Cell and atoms, written as POSCAR:
```
Mg5In2HgPd2
1.0
3.853 0.000 0.000
0.000 10.385 0.000
0.000 0.000 10.385
Pd In Mg Hg
4 4 10 2
direct
0.000 0.127 0.627
0.000 0.373 0.127
0.000 0.627 0.873
0.000 0.873 0.373
0.000 0.169 0.331
0.000 0.669 0.169
0.000 0.831 0.669
0.000 0.331 0.831
0.500 0.500 0.000
0.500 0.704 0.424
0.500 0.796 0.924
0.500 0.924 0.204
0.500 0.204 0.076
0.500 0.424 0.296
0.500 0.000 0.500
0.500 0.576 0.704
0.500 0.296 0.576
0.500 0.076 0.796
0.000 0.500 0.500
0.000 0.000 0.000
```

Summary:
The calculation puts the volume at 415.5 Å³/cell. As for the space-group type: P4/mbm, No. 127. Its formation energy from the elements is -345 meV per atom.



# Sc4GaNi3

An optimized crystal structure of Sc4GaNi3 (PBE, Alexandria).

Cell and atoms, written as POSCAR:
```
Sc4GaNi3
1.0
-4.404 0.908 0.713
-3.194 -2.812 -1.616
-2.310 -4.526 6.031
Ni Sc Ga
3 4 1
direct
0.254 0.254 0.238
0.746 0.746 0.762
0.500 0.500 0.500
0.620 0.620 0.139
0.129 0.129 0.614
0.380 0.380 0.861
0.871 0.871 0.386
0.000 0.000 0.000
```

Summary:
The calculation puts the volume at 133.5 Å³/cell. As for the space-group type: R-3m, No. 166. Its formation energy from the elements is -530 meV per atom.